1.
The following is a PBE calculation of crystalline Pm4Ga5Ni3 at its relaxed geometry, from Alexandria via LeMat-Bulk.

Cell and atoms, written as POSCAR:
```
Pm4Ga5Ni3
1.0
-1.6801 0.2901 4.0692
-6.0704 -4.7801 0.2262
1.7259 -8.1375 3.6845
Pm Ga Ni
4 5 3
Cartesian
-1.8078 -7.6216 6.9724 Pm
-4.2671 -9.4582 3.6961 Pm
-1.7575 -3.1693 4.2839 Pm
-4.2168 -5.0059 1.0076 Pm
-5.0943 -11.5354 5.8945 Ga
-3.0123 -6.3137 3.9900 Ga
-1.3981 -9.9863 4.9183 Ga
-4.6265 -2.6412 3.0617 Ga
-0.9304 -1.0921 2.0855 Ga
-5.1132 -6.9794 3.1700 Ni
-2.1722 -6.4588 1.9554 Ni
-0.9114 -5.6481 4.8100 Ni
```

Calculated density = 6.85 g/cm³

2.
The following is a PBE calculation of crystalline Pm5Ga3Ni3 at its relaxed geometry, from Alexandria via LeMat-Bulk.

Cell and atoms, written as POSCAR:
```
Pm5Ga3Ni3
1.0
3.8345 0.0000 0.0000
0.0000 9.0743 0.0000
0.0000 -4.5371 7.8586
Pm Ga Ni
5 3 3
Cartesian
1.9173 0.0000 5.2390 Pm
1.9173 4.5371 2.6195 Pm
1.9173 1.0526 1.8232 Pm
1.9173 -3.4845 6.0354 Pm
1.9173 6.9691 0.0000 Pm
0.0000 3.1167 5.3982 Ga
0.0000 2.8410 0.0000 Ga
0.0000 -1.4205 2.4603 Ga
1.9173 2.4598 4.2606 Ni
1.9173 -2.0773 3.5980 Ni
1.9173 4.1546 0.0000 Ni
```

Calculated density = 6.74 g/cm³

Number 1: magnetic moment 0.0000 μB/atom, ΔE_f -0.36 eV/atom, total energy -4.655 eV/atom. Number 2: magnetic moment 0.0000 μB/atom, ΔE_f -0.18 eV/atom, total energy -4.740 eV/atom.